First-principles (GGA-PBE) data for a geometry-optimized KLi3S4O12 structure, as listed in Alexandria.

a b c (Å): 10.6524 10.6524 8.3282
angles (deg): 90.00 90.00 120.00
Space group R32 (No. 155, hexagonal axes)
Symmetry-distinct sites (fractional):
K1 0.0000 0.0000 0.0000 (multiplicity 3)
Li1 0.0000 0.5545 0.0000 (multiplicity 9)
S1 0.0000 0.0000 0.5000 (multiplicity 3)
S2 0.0000 0.4466 0.5000 (multiplicity 9)
O1 0.0000 0.5884 0.5000 (multiplicity 9)
O2 0.0000 0.8582 0.5000 (multiplicity 9)
O3 0.0281 0.2227 0.1859 (multiplicity 18)

Results
- Raw formation energy: -110.4 kJ per mole of atoms
- D(E_F): 30.44 states/eV/cell

***

First-principles (GGA-PBE) data for a geometry-optimized LaYSc2 structure, as listed in Alexandria.

a b c (Å): 3.582 4.551 7.168
angles (deg): 90.00 90.09 90.00
Space group P2/m (No. 10)
Symmetry-distinct sites (fractional):
La1 0.000 0.000 0.000 (multiplicity 1)
Y1 0.000 0.000 0.500 (multiplicity 1)
Sc1 0.500 0.500 0.257 (multiplicity 2)

Results
- Energy above the most stable polymorph in this dataset: 0.010 eV per atom
- ΔE_f: 0.061 eV per atom
- D(E_F): 6.29 states/eV/cell

***

First-principles (GGA-PBE) data for a geometry-optimized AcNd6Ho structure, as listed in Alexandria.

a b c (Å): 5.231 5.231 10.460
angles (deg): 90.00 90.00 90.00
Space group P4/mmm (No. 123)
Symmetry-distinct sites (fractional):
Ac1 0.000 0.000 0.000 (multiplicity 1)
Nd1 0.000 0.500 0.258 (multiplicity 4)
Nd2 0.500 0.500 0.000 (multiplicity 1)
Nd3 0.500 0.500 0.500 (multiplicity 1)
Ho1 0.000 0.000 0.500 (multiplicity 1)

Results
- ΔE_f: 0.026 eV per atom
- D(E_F): 13.72 states/eV/cell

***

First-principles (GGA-PBE) data for a geometry-optimized Li6TlSi structure, as listed in Alexandria.

a b c (Å): 5.127 5.138 5.140
angles (deg): 90.44 96.48 90.14
Space group P-1 (No. 2)
Symmetry-distinct sites (fractional):
Li1 0.000 0.237 0.499 (multiplicity 2)
Li2 0.235 0.498 0.975 (multiplicity 2)
Li3 0.490 0.002 0.764 (multiplicity 2)
Tl1 0.500 0.500 0.500 (multiplicity 1)
Si1 0.000 0.000 0.000 (multiplicity 1)

Results
- Raw formation energy: -14.5 kJ per mole of atoms
- Energy above the most stable polymorph in this dataset: 0.004 eV per atom
- D(E_F): 3.13 states/eV/cell

***

no.,DFT total energy (Ry/atom)
1,-0.3885
2,-0.4375
3,-0.3407
4,-0.1881